The following is a DFT calculation (PBE) of a geometry-optimized LiDyErMo structure.

Energy of formation   0.25 eV/atom
Calculated volume   21.7 Å³ per atom

Cell lengths 7.0330, 7.0330, 7.0330 Å; angles 90.00, 90.00, 90.00 degrees
Closest atoms and distances in Å follow each position.
Space group F-43m (No. 216)
Unique sites:
Li 0.0000 0.0000 0.0000  4 Dy 3.05, 4 Er 3.05
Dy 0.2500 0.2500 0.2500  4 Mo 3.05, 4 Li 3.05
Er 0.2500 0.2500 0.7500  4 Mo 3.05, 4 Li 3.05
Mo 0.0000 0.0000 0.5000  4 Dy 3.05, 4 Er 3.05

---

The following is a DFT calculation (PBE) of a geometry-optimized LiDyErNi structure.

Energy of formation   -0.15 eV/atom
Calculated volume   20.8 Å³ per atom

Cell lengths 6.9253, 6.9253, 6.9253 Å; angles 90.00, 90.00, 90.00 degrees
Closest atoms and distances in Å follow each position.
Space group F-43m (No. 216)
Unique sites:
Li 0.0000 0.0000 0.0000  4 Er 3.00, 4 Dy 3.00
Dy 0.2500 0.2500 0.2500  4 Li 3.00, 4 Ni 3.00
Er 0.2500 0.2500 0.7500  4 Ni 3.00, 4 Li 3.00
Ni 0.0000 0.0000 0.5000  4 Dy 3.00, 4 Er 3.00

---

The following is a DFT calculation (PBE) of a geometry-optimized LiDyErPb structure.

Energy of formation   -0.25 eV/atom
Calculated volume   25.8 Å³ per atom

Cell lengths 7.4425, 7.4425, 7.4425 Å; angles 90.00, 90.00, 90.00 degrees
Closest atoms and distances in Å follow each position.
Space group F-43m (No. 216)
Unique sites:
Li 0.0000 0.0000 0.0000  4 Er 3.22, 4 Dy 3.22
Dy 0.2500 0.2500 0.7500  4 Pb 3.22, 4 Li 3.22
Er 0.2500 0.2500 0.2500  4 Pb 3.22, 4 Li 3.22
Pb 0.0000 0.0000 0.5000  4 Dy 3.22, 4 Er 3.22

---

The following is a DFT calculation (PBE) of a geometry-optimized LiDyErPd structure.

Energy of formation   -0.42 eV/atom
Calculated volume   22.1 Å³ per atom

Cell lengths 7.0762, 7.0762, 7.0762 Å; angles 90.00, 90.00, 90.00 degrees
Closest atoms and distances in Å follow each position.
Space group F-43m (No. 216)
Unique sites:
Li 0.0000 0.0000 0.0000  4 Dy 3.06, 4 Er 3.06
Dy 0.2500 0.2500 0.7500  4 Li 3.06, 4 Pd 3.06
Er 0.2500 0.2500 0.2500  4 Li 3.06, 4 Pd 3.06
Pd 0.0000 0.0000 0.5000  4 Dy 3.06, 4 Er 3.06

---

The following is a DFT calculation (PBE) of a geometry-optimized LiDyEr2Pd4 structure.

Energy of formation   -0.81 eV/atom
Calculated volume   19.8 Å³ per atom

Cell lengths 4.8492, 4.8492, 23.3889 Å; angles 90.00, 90.00, 120.00 degrees
Closest atoms and distances in Å follow each position.
Space group R-3m (No. 166, hexagonal axes)
Unique sites:
Li 0.0000 0.0000 0.0000  8 Pd 2.92-2.99
Dy 0.0000 0.0000 0.5000  8 Pd 2.85-2.97
Er 0.0000 0.0000 0.2575  8 Pd 2.82-3.10
Pd 0.0000 0.0000 0.1248  1 Li 2.92, 3 Dy 2.97, 4 Er 3.02-3.10
Pd 0.0000 0.0000 0.3782  4 Er 2.82-2.89, 1 Dy 2.85, 3 Li 2.99

---

The following is a DFT calculation (PBE) of a geometry-optimized LiPmDyEr structure.

Energy of formation   0.17 eV/atom
Calculated volume   29.4 Å³ per atom

Cell lengths 7.7789, 7.7789, 7.7789 Å; angles 90.00, 90.00, 90.00 degrees
Closest atoms and distances in Å follow each position.
Space group F-43m (No. 216)
Unique sites:
Li 0.0000 0.0000 0.0000  4 Dy 3.37, 4 Pm 3.37
Pm 0.2500 0.2500 0.7500  4 Li 3.37, 4 Er 3.37
Dy 0.2500 0.2500 0.2500  4 Li 3.37, 4 Er 3.37
Er 0.0000 0.0000 0.5000  4 Pm 3.37, 4 Dy 3.37

---

The following is a DFT calculation (PBE) of a geometry-optimized LiPrDyEr structure.

Energy of formation   0.16 eV/atom
Calculated volume   29.9 Å³ per atom

Cell lengths 7.8251, 7.8251, 7.8251 Å; angles 90.00, 90.00, 90.00 degrees
Closest atoms and distances in Å follow each position.
Space group F-43m (No. 216)
Unique sites:
Li 0.0000 0.0000 0.0000  4 Dy 3.39, 4 Pr 3.39
Pr 0.2500 0.2500 0.2500  4 Li 3.39, 4 Er 3.39
Dy 0.2500 0.2500 0.7500  4 Li 3.39, 4 Er 3.39
Er 0.0000 0.0000 0.5000  4 Dy 3.39, 4 Pr 3.39

---

The following is a DFT calculation (PBE) of a geometry-optimized LiDyErPt structure.

Energy of formation   -0.68 eV/atom
Calculated volume   21.5 Å³ per atom

Cell lengths 7.0061, 7.0061, 7.0061 Å; angles 90.00, 90.00, 90.00 degrees
Closest atoms and distances in Å follow each position.
Space group F-43m (No. 216)
Unique sites:
Li 0.0000 0.0000 0.0000  4 Dy 3.03, 4 Er 3.03
Dy 0.2500 0.2500 0.2500  4 Li 3.03, 4 Pt 3.03
Er 0.2500 0.2500 0.7500  4 Li 3.03, 4 Pt 3.03
Pt 0.0000 0.0000 0.5000  4 Dy 3.03, 4 Er 3.03

---

Please write out number 8 again, unchanged.
The following is a DFT calculation (PBE) of a geometry-optimized LiDyErPt structure.

Energy of formation   -0.68 eV/atom
Calculated volume   21.5 Å³ per atom

Cell lengths 7.0061, 7.0061, 7.0061 Å; angles 90.00, 90.00, 90.00 degrees
Closest atoms and distances in Å follow each position.
Space group F-43m (No. 216)
Unique sites:
Li 0.0000 0.0000 0.0000  4 Dy 3.03, 4 Er 3.03
Dy 0.2500 0.2500 0.2500  4 Li 3.03, 4 Pt 3.03
Er 0.2500 0.2500 0.7500  4 Li 3.03, 4 Pt 3.03
Pt 0.0000 0.0000 0.5000  4 Dy 3.03, 4 Er 3.03

---

- Which value of energy of formation does entry 2 give?
  -0.15 eV/atom

---

- energy of formation of number 4 (LiDyErPd)?
  -0.42 eV/atom